Compound: CoRu2C2
Source: Alexandria
Functional: PBE
Structure: relaxed

Cell and atoms, written as extended XYZ:
```
5
Lattice="3.7531 0.0000 0.0000 0.0000 3.7531 0.0000 1.8766 1.8766 3.6891" Properties=species:S:1:pos:R:3 pbc="T T T"
Ru 3.7531 1.8766 1.8445
Ru 1.8766 3.7531 1.8445
C 1.8766 1.8766 0.7526
C 3.7531 3.7531 2.9365
Co 0.0000 0.0000 0.0000
```

## Properties
Offset from the most stable computed form in eV/atom: 0.000
Uncorrected energy in eV/atom: -8.19
Energy of formation from the pure elements in eV/atom: 0.63
Crystal system: tetragonal
Calculated density in g/cm3: 9.110



Compound: CoRu2C
Source: Alexandria
Functional: PBE
Structure: relaxed

Cell and atoms, written as extended XYZ:
```
8
Lattice="5.0142 0.0000 0.0000 0.0000 5.0142 0.0000 2.5071 2.5071 4.6060" Properties=species:S:1:pos:R:3 pbc="T T T"
Ru 3.4454 1.2535 1.1515
Ru 3.7606 4.0759 3.4545
Ru 1.5688 3.7606 1.1515
Ru 6.2677 5.9525 3.4545
Co 0.0000 0.0000 0.0000
Co 5.0142 2.5071 2.3030
C 2.5071 2.5071 0.0000
C 2.5071 5.0142 2.3030
```

## Properties
Uncorrected energy in eV/atom: -7.88
Energy of formation from the pure elements in eV/atom: 0.84
Crystal system: tetragonal
Calculated density in g/cm3: 7.832



Compound: CoRuC2
Source: Alexandria
Functional: PBE
Structure: relaxed

Cell and atoms, written as extended XYZ:
```
4
Lattice="0.0000 2.5913 2.5913 2.5913 0.0000 2.5913 2.5913 2.5913 0.0000" Properties=species:S:1:pos:R:3 pbc="T T T"
C 1.2956 1.2956 1.2956
C 3.8869 3.8869 3.8869
Ru 2.5913 2.5913 2.5913
Co 0.0000 0.0000 0.0000
```

## Properties
Offset from the most stable computed form in eV/atom: 0.665
Uncorrected energy in eV/atom: -7.50
Energy of formation from the pure elements in eV/atom: 1.21
Crystal system: cubic
Calculated density in g/cm3: 8.781



Compound: CoRuC3
Source: Alexandria
Functional: PBE
Structure: relaxed

Cell and atoms, written as extended XYZ:
```
5
Lattice="-3.2063 0.5345 -2.2200 1.1021 -2.9894 -2.3116 -1.9999 -2.5045 2.2853" Properties=species:S:1:pos:R:3 pbc="T T T"
Ru 0.0000 0.0000 0.0000
C -0.9999 -1.2522 1.1427
C 0.5511 -1.4947 -1.1558
C -1.6032 0.2673 -1.1100
Co -2.0520 -2.4797 -1.1231
```

## Properties
Offset from the most stable computed form in eV/atom: 0.154
Uncorrected energy in eV/atom: -6.47
Energy of formation from the pure elements in eV/atom: 2.34
Crystal system: cubic
Calculated density in g/cm3: 5.337



Compound: CoRuCS
Source: Alexandria
Functional: PBE
Structure: relaxed

Cell and atoms, written as extended XYZ:
```
4
Lattice="3.1917 0.0000 0.0000 0.0000 3.3739 0.0000 0.0000 0.0000 4.9149" Properties=species:S:1:pos:R:3 pbc="T T T"
Co 1.5959 1.6870 1.7409
S 0.0000 1.6870 3.1924
Ru 0.0000 0.0000 4.7482
C 1.5959 0.0000 0.9380
```

## Properties
Offset from the most stable computed form in eV/atom: 0.000
Uncorrected energy in eV/atom: -7.35
Crystal system: orthorhombic
Calculated density in g/cm3: 6.403



Compound: CoRuCS
Source: Alexandria
Functional: PBE
Structure: relaxed

Cell and atoms, written as extended XYZ:
```
4
Lattice="-2.7707 -2.1310 -0.8635 1.8193 -2.6937 0.8102 -0.8561 0.7498 4.4153" Properties=species:S:1:pos:R:3 pbc="T T T"
S -0.7760 -2.1463 1.5322
Ru -1.9646 -0.1104 4.0443
Co -2.1738 -2.5905 3.1942
C -0.6090 -1.5419 3.1666
```

## Properties
Offset from the most stable computed form in eV/atom: 0.381
Uncorrected energy in eV/atom: -6.97
Crystal system: monoclinic
Calculated density in g/cm3: 6.270



Compound: CoRuCS
Source: Alexandria
Functional: PBE
Structure: relaxed

Cell and atoms, written as extended XYZ:
```
8
Lattice="5.2501 0.0000 0.0000 0.0000 2.8848 0.0000 -0.8451 0.0000 6.3247" Properties=species:S:1:pos:R:3 pbc="T T T"
Co 3.0633 1.4424 1.4318
Co 2.6408 0.0000 4.5941
C 3.9174 1.4424 4.4255
C 4.3400 0.0000 1.2631
S 1.0968 0.0000 6.2715
S 1.5194 1.4424 3.1092
Ru 4.3635 1.4424 6.3235
Ru 4.7861 0.0000 3.1611
```

## Properties
Offset from the most stable computed form in eV/atom: 0.105
Uncorrected energy in eV/atom: -7.24
Crystal system: monoclinic
Calculated density in g/cm3: 7.076



Compound: CoRuCS
Source: Alexandria
Functional: PBE
Structure: relaxed

Cell and atoms, written as extended XYZ:
```
4
Lattice="-0.3434 0.1848 3.1885 -2.5926 -0.2062 -1.8853 0.1978 -5.7050 0.3519" Properties=species:S:1:pos:R:3 pbc="T T T"
Ru -1.8259 -0.5652 -0.1639
Co 0.1374 -3.9636 0.2445
S 0.0627 -1.8075 0.1115
C -1.6961 -4.3088 0.0671
```

## Properties
Offset from the most stable computed form in eV/atom: 0.052
Uncorrected energy in eV/atom: -7.30
Crystal system: trigonal
Calculated density in g/cm3: 6.631



Compound: CoRuCS
Source: Alexandria
Functional: PBE
Structure: relaxed

Cell and atoms, written as extended XYZ:
```
8
Lattice="2.8712 0.0000 0.0000 0.0000 2.7559 0.0000 0.0000 0.0000 11.5034" Properties=species:S:1:pos:R:3 pbc="T T T"
C 0.0000 0.0000 7.9104
C 0.0000 1.3780 2.1587
Ru 0.0000 0.0000 0.4802
Ru 0.0000 1.3780 6.2319
S 1.4356 1.3780 10.6209
S 1.4356 0.0000 4.8692
Co 1.4356 1.3780 8.4354
Co 1.4356 0.0000 2.6837
```

## Properties
Offset from the most stable computed form in eV/atom: 0.181
Uncorrected energy in eV/atom: -7.17
Crystal system: orthorhombic
Calculated density in g/cm3: 7.446



Compound: CoRuCS
Source: Alexandria
Functional: PBE
Structure: relaxed

Cell and atoms, written as extended XYZ:
```
12
Lattice="-0.3758 -2.7095 0.8543 2.6319 1.1321 -0.0582 -2.1083 5.7988 17.4647" Properties=species:S:1:pos:R:3 pbc="T T T"
Ru -0.2652 5.0625 15.9403
Ru -0.5650 1.8491 10.4228
Ru -0.4890 1.3451 4.0511
S 0.9133 1.8211 6.1778
S -1.4189 3.9025 11.7534
S 0.6135 -1.3923 0.6603
C 0.5891 2.7128 8.8635
C -1.7431 4.7942 14.4391
C 0.2893 -0.5006 3.3460
Co -0.2829 1.0732 8.0861
Co 0.0169 4.2867 13.6036
Co -0.2070 0.5692 1.7144
```

## Properties
Offset from the most stable computed form in eV/atom: 0.205
Uncorrected energy in eV/atom: -7.14
Crystal system: trigonal
Calculated density in g/cm3: 7.718



Compound: CoRuCS
Source: Alexandria
Functional: PBE
Structure: relaxed

Cell and atoms, written as extended XYZ:
```
12
Lattice="3.0099 0.0000 0.0000 -1.5049 2.6066 0.0000 0.0000 0.0000 18.3897" Properties=species:S:1:pos:R:3 pbc="T T T"
C 1.5049 0.8689 16.0782
C 0.0000 1.7377 3.8184
C 0.0000 0.0000 9.9483
Ru 0.0000 0.0000 14.3416
Ru 1.5049 0.8689 2.0818
Ru 0.0000 1.7377 8.2117
Co 1.5049 0.8689 4.5430
Co 0.0000 1.7377 10.6729
Co 0.0000 0.0000 16.8028
S 0.0000 0.0000 0.5989
S 1.5049 0.8689 6.7288
S 0.0000 1.7377 12.8588
```

## Properties
Offset from the most stable computed form in eV/atom: 0.144
Uncorrected energy in eV/atom: -7.20
Crystal system: trigonal
Calculated density in g/cm3: 7.046



Compound: CoRuCS
Source: Alexandria
Functional: PBE
Structure: relaxed

Cell and atoms, written as extended XYZ:
```
8
Lattice="-5.6586 1.0160 -1.7433 -0.9829 -1.3357 2.4121 2.1825 4.4342 3.3448" Properties=species:S:1:pos:R:3 pbc="T T T"
Ru -5.6780 0.6599 -0.1722
Ru -4.0953 3.5449 0.2942
C 0.0193 3.0517 3.4739
C -0.5805 1.5025 0.5954
S -2.9599 3.0314 2.2486
S -3.5597 1.4821 -0.6298
Co -1.6857 0.3491 -0.4936
Co -1.0859 1.8983 2.3849
```

## Properties
Offset from the most stable computed form in eV/atom: 0.043
Uncorrected energy in eV/atom: -7.30
Crystal system: monoclinic
Calculated density in g/cm3: 6.987



Compound: CoRuCS
Source: Alexandria
Functional: PBE
Structure: relaxed

Cell and atoms, written as extended XYZ:
```
4
Lattice="2.7284 0.0000 0.0000 0.0000 2.8808 0.0000 0.0000 0.0000 6.1285" Properties=species:S:1:pos:R:3 pbc="T T T"
C 0.0000 1.4404 1.2958
Co 1.3642 0.0000 1.9457
S 1.3642 0.0000 4.1252
Ru 1.3642 1.4404 5.8749
```

## Properties
Offset from the most stable computed form in eV/atom: 0.235
Uncorrected energy in eV/atom: -7.11
Crystal system: orthorhombic
Calculated density in g/cm3: 7.035